Below is crystalline ZrTaHgO2 at its relaxed geometry, with properties calculated at the PBE-GGA level.

The calculation puts the formation energy without anion corrections at -4.69 eV/f.u. The calculation puts the total energy at -7.06 eV per atom. The calculation puts the density of states at the Fermi level at 4.776 states/eV/f.u.

The space group is P4/mmm (No. 123) and the conventional cell measures 3.972, 3.972 and 6.382 Å, with angles of 90.00, 90.00 and 90.00 degrees. The asymmetric unit holds Zr at (0.000, 0.000, 0.000), Ta at (0.000, 0.000, 0.500), Hg at (0.500, 0.500, 0.000) and O at (0.000, 0.500, 0.500).

***

Below is crystalline Tb3HgO at its relaxed geometry, with properties calculated at the PBE-GGA level.

The calculation puts the formation energy without anion corrections at -6.96 eV/f.u. The calculation puts the total energy at -5.22 eV per atom. The calculation puts the density of states at the Fermi level at 2.112 states/eV/f.u.

The space group is Pm-3m (No. 221) and the conventional cell measures 4.787, 4.787 and 4.787 Å, with angles of 90.00, 90.00 and 90.00 degrees. The asymmetric unit holds Tb at (0.000, 0.000, 0.500), Hg at (0.500, 0.500, 0.500) and O at (0.000, 0.000, 0.000).